# ZnGaAgPb PBE-GGA relaxed
data_ZnGaAgPb
_cell_length_a 7.0099
_cell_length_b 7.0099
_cell_length_c 7.0099
_cell_angle_alpha 90.00
_cell_angle_beta 90.00
_cell_angle_gamma 90.00
_symmetry_space_group_name_H-M 'F -4 3 m'
_symmetry_Int_Tables_number 216
_symmetry_space_group_name_Hall 'F -4 2 3'
loop_
_atom_site_label
_atom_site_fract_x
_atom_site_fract_y
_atom_site_fract_z
Zn1 0.0000 0.0000 0.0000
Ga1 0.2500 0.2500 0.7500
Ag1 0.0000 0.0000 0.5000
Pb1 0.2500 0.2500 0.2500
# - formation energy (eV per atom) = 0.17
# - Fermi-level density of states (states/eV/atom) = 0.31